1.
VASP calculation (PBE) on a relaxed structure of Nd6TeRh3. Values from VASP.

The value obtained for the formation energy (no corrections) is -0.718 eV/atom.

Quantum ESPRESSO input file:
```
&SYSTEM
  ibrav = 0, nat = 20, ntyp = 3
/
ATOMIC_SPECIES
Nd 144.24 Nd.upf
Rh 102.91 Rh.upf
Te 127.60 Te.upf
ATOMIC_POSITIONS angstrom
Nd -0.555 -9.969 6.436
Rh -3.472 -4.926 -1.026
Te -5.404 -9.076 -2.021
Nd -3.894 -9.700 0.795
Nd -4.909 -2.495 -0.476
Rh -2.164 -11.668 4.682
Rh -4.731 -7.521 2.465
Nd -1.570 -2.764 5.166
Nd 2.643 -5.109 9.144
Nd -8.107 -7.355 -3.184
Rh -1.991 -7.538 6.987
Nd -2.958 -6.217 4.698
Rh -3.300 -0.796 1.278
Nd -1.458 -2.886 1.218
Nd -5.875 -6.302 -0.061
Te -0.060 -3.388 7.981
Nd 0.411 -6.161 6.021
Nd -2.506 -6.247 1.262
Nd -4.006 -9.577 4.743
Rh -0.733 -4.943 3.495
CELL_PARAMETERS angstrom
-3.465 1.108 2.103
-6.378 -8.197 -6.187
4.379 -5.374 10.044
```

=====

2.
VASP calculation (PBE) on a relaxed structure of CaNd12Tm7. Values from VASP.

The value obtained for the formation energy is 644.6 meV/atom.

Quantum ESPRESSO input file:
```
&SYSTEM
  ibrav = 0, nat = 20, ntyp = 3
/
ATOMIC_SPECIES
Nd 144.24 Nd.upf
Tm 168.93 Tm.upf
Ca 40.08 Ca.upf
ATOMIC_POSITIONS angstrom
Nd -2.203 8.253 3.116
Nd 4.770 3.816 3.368
Tm 0.000 0.000 5.057
Tm 4.768 0.000 3.371
Tm 2.384 4.129 1.686
Nd 6.971 0.004 0.255
Tm -2.384 4.129 -1.686
Nd 0.922 6.035 3.375
Ca 0.000 0.000 0.000
Tm 2.384 4.129 -3.371
Tm -2.384 4.129 3.371
Nd 1.286 2.219 3.627
Nd 3.845 2.223 -0.003
Nd 3.482 6.039 -0.255
Tm 4.768 0.000 -1.686
Nd 5.687 2.219 6.739
Nd -0.920 6.039 -3.368
Nd 6.046 6.035 -3.116
Nd -0.002 4.442 0.003
Nd -1.279 2.223 6.487
CELL_PARAMETERS angstrom
9.535 0.000 -3.371
-4.768 8.258 -3.371
0.000 0.000 10.113
```

=====

3.
VASP calculation (PBE) on a relaxed structure of BaAlAsBr2. Values from VASP.

The value obtained for the formation energy (no corrections) is -0.932 eV/atom. The polymorph energy (0 for the lowest one) is 0.0 kJ/mol of formula units.

Quantum ESPRESSO input file:
```
&SYSTEM
  ibrav = 0, nat = 5, ntyp = 4
/
ATOMIC_SPECIES
Br 79.90 Br.upf
Ba 137.33 Ba.upf
As 74.92 As.upf
Al 26.98 Al.upf
ATOMIC_POSITIONS angstrom
Br -1.301 -2.298 -0.375
Ba -4.357 -0.785 0.957
Br -2.089 1.342 -0.975
As -0.966 0.171 2.306
Al 0.000 0.000 0.000
CELL_PARAMETERS angstrom
-4.179 2.684 -1.950
-2.603 -4.597 -0.749
-1.933 0.342 4.613
```

=====

4.
VASP calculation (PBE) on a relaxed structure of ZnRu2Pb2. Values from VASP.

The value obtained for the formation energy is 295.3 meV/atom.

Quantum ESPRESSO input file:
```
&SYSTEM
  ibrav = 0, nat = 10, ntyp = 3
/
ATOMIC_SPECIES
Pb 207.20 Pb.upf
Ru 101.07 Ru.upf
Zn 65.41 Zn.upf
ATOMIC_POSITIONS angstrom
Pb -3.599 -4.965 -2.099
Ru -0.440 -5.998 1.956
Ru -1.591 -6.992 -1.422
Zn -0.883 -4.736 -0.296
Ru -0.175 -2.479 0.829
Ru -1.327 -3.473 -2.548
Pb -2.593 -1.952 -0.384
Pb -3.041 -6.869 0.918
Zn 0.000 0.000 0.000
Pb -2.034 -3.855 2.633
CELL_PARAMETERS angstrom
-2.144 -4.211 -4.926
0.377 -5.260 4.333
-3.867 0.651 1.127
```